Entry 1:
Crystalline BeBi2PPb at its relaxed geometry. Source: Alexandria via LeMat-Bulk, functional PBE.

Unit cell a=5.698 b=5.698 c=3.924 alpha=90.00 beta=90.00 gamma=90.00
Space group P4/mmm (No. 123)
One atom of each set of equivalent atoms:
Be 0.000 0.000 0.000
Bi 0.000 0.500 0.000
P 0.000 0.000 0.500
Pb 0.500 0.500 0.500

Spin magnetization, μB/atom: 0.0000
Volume, Å³/cell: 127.4
Energy, eV/f.u.: -18.92
DFT formation energy, eV/atom: 0.337

Entry 2:
Crystalline BeBi2PPd at its relaxed geometry. Source: Alexandria via LeMat-Bulk, functional PBE.

Unit cell a=5.305 b=5.305 c=3.864 alpha=90.00 beta=90.00 gamma=90.00
Space group P4/mmm (No. 123)
One atom of each set of equivalent atoms:
Be 0.000 0.000 0.000
Bi 0.000 0.500 0.000
P 0.000 0.000 0.500
Pd 0.500 0.500 0.500

Spin magnetization, μB/atom: 0.0000
Volume, Å³/cell: 108.7
Energy, eV/f.u.: -20.05
DFT formation energy, eV/atom: 0.408

Entry 3:
Crystalline BeBiP2S at its relaxed geometry. Source: Alexandria via LeMat-Bulk, functional PBE.

Unit cell a=4.381 b=4.381 c=4.635 alpha=90.00 beta=90.00 gamma=90.00
Space group P4/mmm (No. 123)
One atom of each set of equivalent atoms:
Be 0.000 0.000 0.000
Bi 0.500 0.500 0.500
P 0.000 0.500 0.000
S 0.000 0.000 0.500

Spin magnetization, μB/atom: 0.0000
ΔE_f (raw), meV per atom: 421.1
Volume, Å³/cell: 89.0
Energy, eV/f.u.: -20.45

Entry 4:
Crystalline BeBiP2S at its relaxed geometry. Source: Alexandria via LeMat-Bulk, functional PBE.

Unit cell a=5.300 b=5.300 c=5.149 alpha=90.00 beta=90.00 gamma=90.00
Space group P4/mmm (No. 123)
One atom of each set of equivalent atoms:
Be 0.000 0.000 0.000
Bi 0.500 0.500 0.500
P 0.000 0.500 0.500
S 0.500 0.500 0.000

Spin magnetization, μB/atom: 0.3187
ΔE_f (raw), meV per atom: 1612.2
Volume, Å³/cell: 144.6
Energy, eV/f.u.: -14.49

Entry 5:
Crystalline ScBe2BiP at its relaxed geometry. Source: Alexandria via LeMat-Bulk, functional PBE.

Unit cell a=4.158 b=4.158 c=5.943 alpha=90.00 beta=90.00 gamma=90.00
Space group P4/mmm (No. 123)
One atom of each set of equivalent atoms:
Sc 0.000 0.000 0.000
Be 0.000 0.500 0.500
Bi 0.500 0.500 0.000
P 0.500 0.500 0.500

Spin magnetization, μB/atom: 0.0000
Volume, Å³/cell: 102.7
Energy, eV/f.u.: -21.09
DFT formation energy, eV/atom: 0.397

Entry 6:
Crystalline BeSiBiP2 at its relaxed geometry. Source: Alexandria via LeMat-Bulk, functional PBE.

Unit cell a=4.795 b=4.795 c=4.168 alpha=90.00 beta=90.00 gamma=90.00
Space group P4/mmm (No. 123)
One atom of each set of equivalent atoms:
Be 0.000 0.000 0.000
Si 0.000 0.000 0.500
Bi 0.500 0.500 0.000
P 0.000 0.500 0.500

Spin magnetization, μB/atom: 0.0000
ΔE_f (raw), meV per atom: 600.2
Volume, Å³/cell: 95.8
Energy, eV/f.u.: -20.85

Entry 7:
Crystalline Pa3BeBi at its relaxed geometry. Source: Alexandria via LeMat-Bulk, functional PBE.

Unit cell a=4.974 b=4.974 c=4.974 alpha=90.00 beta=90.00 gamma=90.00
Space group Pm-3m (No. 221)
One atom of each set of equivalent atoms:
Pa 0.000 0.000 0.500
Be 0.000 0.000 0.000
Bi 0.500 0.500 0.500

Spin magnetization, μB/atom: 0.0003
Volume, Å³/cell: 123.0
Energy, eV/f.u.: -34.45
DFT formation energy, eV/atom: 0.329

Entry 8:
Crystalline PaBeBi2 at its relaxed geometry. Source: Alexandria via LeMat-Bulk, functional PBE.

Unit cell a=4.6303 b=4.6303 c=24.6296 alpha=90.00 beta=90.00 gamma=120.00
Space group R-3m (No. 166, hexagonal axes)
One atom of each set of equivalent atoms:
Pa 0.0000 0.0000 0.0000
Be 0.0000 0.0000 0.5000
Bi 0.0000 0.0000 0.4041

Spin magnetization, μB/atom: 0.2533
Volume, Å³/cell: 457.3
Energy, eV/f.u.: -18.59
DFT formation energy, eV/atom: 0.599